5
Lattice="-2.0634 1.5367 -3.0227 -3.0767 0.6389 2.4251 1.9364 4.8953 1.1670" Properties=species:S:1:pos:R:3 comment="SiNiIO2 (GGA+U, optimized geometry)" spacegroup="P4/mmm (123)" dft_energy_ha_per_atom=-0.1298 dos_at_fermi_per_ev_cell=1.6 pbc="T T T"
I 0.9682 2.4477 0.5835
Ni 0.0000 0.0000 0.0000
Si -1.6019 3.5355 0.2847
O -1.5384 0.3195 1.2126
O -1.0317 0.7684 -1.5113